This record from Alexandria describes an optimized crystal structure of Mg2AlPbN. The functional is PBE.

abc: 4.604 4.604 3.960
angles: 90.00 90.00 90.00
Space group P4/mmm (No. 123)
Inequivalent atoms, fractional coordinates:
Mg  0.000  0.500  0.000 (multiplicity 2)
Al  0.000  0.000  0.500 (multiplicity 1)
Pb  0.500  0.500  0.500 (multiplicity 1)
N  0.000  0.000  0.000 (multiplicity 1)

Computed properties:
- energy (eV per cell) = -20.09
- E_form (uncorrected) (eV/atom) = -0.2257
- crystal system = tetragonal
- total magnetization (μB/cell) = 0.00
- energy relative to the lowest polymorph listed for this composition (kJ/mol of atoms) = 0.00

This record from Alexandria describes an optimized crystal structure of InHgTe2. The functional is PBE.

abc: 6.278 12.409 3.145
angles: 90.00 101.02 90.00
Space group C2/m (No. 12)
Inequivalent atoms, fractional coordinates:
In  0.000  0.000  0.000 (multiplicity 2)
Hg  0.000  0.500  0.000 (multiplicity 2)
Te  0.250  0.250  0.500 (multiplicity 4)

Computed properties:
- energy (eV per cell) = -18.62
- E_form (uncorrected) (eV/atom) = 0.0033
- crystal system = monoclinic
- total magnetization (μB/cell) = 0.00

This record from Alexandria describes an optimized crystal structure of Ni2BRh. The functional is PBE.

abc: 3.234 3.234 17.227
angles: 90.00 90.00 90.00
Space group I-42d (No. 122)
Inequivalent atoms, fractional coordinates:
Ni  0.236  0.250  0.125 (multiplicity 8)
B  0.000  0.000  0.000 (multiplicity 4)
Rh  0.000  0.000  0.500 (multiplicity 4)

Computed properties:
- energy (eV per cell) = -95.87
- crystal system = tetragonal
- total magnetization (μB/cell) = 2.26
- ΔH_f (0 K) (eV/atom) = 0.41

This record from Alexandria describes an optimized crystal structure of MnSnPHS. The functional is PBE.

abc: 4.730 3.079 5.383
angles: 90.00 112.09 90.00
Space group Pm (No. 6)
Inequivalent atoms, fractional coordinates:
Mn  0.000  0.000  0.000 (multiplicity 1)
Sn  0.269  0.500  0.440 (multiplicity 1)
P  0.459  0.000  0.921 (multiplicity 1)
H  0.790  0.000  0.184 (multiplicity 1)
S  0.867  0.500  0.681 (multiplicity 1)

Computed properties:
- energy (eV per cell) = -26.08
- crystal system = monoclinic
- total magnetization (μB/cell) = 0.00
- energy relative to the lowest polymorph listed for this composition (kJ/mol of atoms) = 8.37